one:
TaCdSiS2 after structural relaxation, computed with GGA-PBE.

a b c (Å): 4.7820 4.7820 4.9114
angles (deg): 90.00 90.00 90.00
Space group P4/mmm (No. 123)
One atom of each set of equivalent atoms:
Ta: 0.0000 0.0000 0.0000 x1
Cd: 0.5000 0.5000 0.5000 x1
Si: 0.5000 0.5000 0.0000 x1
S: 0.0000 0.5000 0.5000 x2

Calculated values
Total magnetic moment (μB/cell): 0.001
Crystal system: tetragonal
ρ (g cm⁻³): 5.7
Density of states at the Fermi level (states/eV/cell): 6.92

---

two:
TaCdSiS2 after structural relaxation, computed with GGA-PBE.

a b c (Å): 4.7206 4.7206 5.2527
angles (deg): 90.00 90.00 90.00
Space group P4/mmm (No. 123)
One atom of each set of equivalent atoms:
Ta: 0.0000 0.0000 0.0000 x1
Cd: 0.5000 0.5000 0.5000 x1
Si: 0.0000 0.0000 0.5000 x1
S: 0.0000 0.5000 0.0000 x2

Calculated values
Total magnetic moment (μB/cell): 0.000
Crystal system: tetragonal
ρ (g cm⁻³): 5.5
Density of states at the Fermi level (states/eV/cell): 2.92

---

It is two that is the most stable of them.

---

one:
Sm2CdS4 after structural relaxation, computed with GGA-PBE.

a b c (Å): 8.4410 8.4410 8.7482
angles (deg): 90.00 90.00 90.00
Space group I-42d (No. 122)
One atom of each set of equivalent atoms:
Sm: 0.1443 0.2500 0.1250 x8
Cd: 0.0000 0.0000 0.5000 x4
S: 0.0684 0.1951 0.8157 x16

Calculated values
Total magnetic moment (μB/cell): 0.000
Crystal system: tetragonal
ρ (g cm⁻³): 5.8
Density of states at the Fermi level (states/eV/cell): 0.00

---

two:
Sm2CdS4 after structural relaxation, computed with GGA-PBE.

a b c (Å): 11.4942 11.4942 11.4942
angles (deg): 90.00 90.00 90.00
Space group Fd-3m (No. 227, origin choice 2)
One atom of each set of equivalent atoms:
Sm: 0.0000 0.0000 0.0000 x16
Cd: 0.1250 0.1250 0.6250 x8
S: 0.0060 0.0060 0.2440 x32

Calculated values
Total magnetic moment (μB/cell): 0.000
Crystal system: cubic
ρ (g cm⁻³): 4.7

---

It is two that is the most stable of them.

---

one:
Sm3CdS after structural relaxation, computed with GGA-PBE.

a b c (Å): 5.3197 5.3197 5.3197
angles (deg): 90.00 90.00 90.00
Space group Pm-3m (No. 221)
One atom of each set of equivalent atoms:
Sm: 0.0000 0.0000 0.5000 x3
Cd: 0.5000 0.5000 0.5000 x1
S: 0.0000 0.0000 0.0000 x1

Calculated values
Total magnetic moment (μB/cell): 0.000
Crystal system: cubic
ρ (g cm⁻³): 6.6
Density of states at the Fermi level (states/eV/cell): 3.64

---

two:
Sm3CdS after structural relaxation, computed with GGA-PBE.

a b c (Å): 9.2142 3.9680 15.4785
angles (deg): 90.00 90.00 90.00
Space group Pnma (No. 62)
One atom of each set of equivalent atoms:
Sm: 0.0182 0.2500 0.1076 x4
Sm: 0.1635 0.2500 0.5253 x4
Sm: 0.1731 0.7500 0.2996 x4
Cd: 0.1122 0.7500 0.6886 x4
S: 0.1687 0.2500 0.9511 x4

Calculated values
Total magnetic moment (μB/cell): 0.000
Crystal system: orthorhombic
ρ (g cm⁻³): 7.0
Density of states at the Fermi level (states/eV/cell): 17.48

---

It is two that is the most stable of them.

---

one:
Cd2SnS4 after structural relaxation, computed with GGA-PBE.

a b c (Å): 7.8047 7.8047 10.9849
angles (deg): 90.00 90.00 90.00
Space group P4_122 (No. 91)
One atom of each set of equivalent atoms:
Cd: 0.0000 0.2436 0.0000 x4
Cd: 0.2534 0.2534 0.3750 x4
Sn: 0.2431 0.5000 0.7500 x4
S: 0.0214 0.2598 0.7526 x8
S: 0.2603 0.4797 0.9863 x8

Calculated values
Total magnetic moment (μB/cell): 0.000
Crystal system: tetragonal
ρ (g cm⁻³): 4.7

---

two:
Cd2SnS4 after structural relaxation, computed with GGA-PBE.

a b c (Å): 3.6533 12.8962 12.9375
angles (deg): 90.00 90.00 90.00
Space group Cmcm (No. 63)
One atom of each set of equivalent atoms:
Cd: 0.0000 0.1276 0.0677 x8
Sn: 0.0000 0.3752 0.2500 x4
S: 0.0000 0.0206 0.2500 x4
S: 0.0000 0.2207 0.6218 x8
S: 0.0000 0.5000 0.0000 x4

Calculated values
Total magnetic moment (μB/cell): 0.000
Crystal system: orthorhombic
ρ (g cm⁻³): 5.1
Density of states at the Fermi level (states/eV/cell): 15.08

---

It is one that is the most stable of them.

---

one:
CdSn3S after structural relaxation, computed with GGA-PBE.

a b c (Å): 5.4772 5.4772 5.4772
angles (deg): 90.00 90.00 90.00
Space group Pm-3m (No. 221)
One atom of each set of equivalent atoms:
Cd: 0.0000 0.0000 0.0000 x1
Sn: 0.0000 0.0000 0.5000 x3
S: 0.5000 0.5000 0.5000 x1

Calculated values
Total magnetic moment (μB/cell): 0.000
Crystal system: cubic
ρ (g cm⁻³): 5.1
Density of states at the Fermi level (states/eV/cell): 3.70

---

two:
CdSn3S after structural relaxation, computed with GGA-PBE.

a b c (Å): 5.3664 5.3664 5.3664
angles (deg): 90.00 90.00 90.00
Space group Pm-3m (No. 221)
One atom of each set of equivalent atoms:
Cd: 0.0000 0.0000 0.0000 x1
Sn: 0.0000 0.5000 0.5000 x3
S: 0.5000 0.5000 0.5000 x1

Calculated values
Total magnetic moment (μB/cell): 0.000
Crystal system: cubic
ρ (g cm⁻³): 5.4
Density of states at the Fermi level (states/eV/cell): 2.63

---

It is two that is the most stable of them.

---

one:
SrCdS3 after structural relaxation, computed with GGA-PBE.

a b c (Å): 5.0095 5.0095 5.0095
angles (deg): 90.00 90.00 90.00
Space group Pm-3m (No. 221)
One atom of each set of equivalent atoms:
Sr: 0.0000 0.0000 0.0000 x1
Cd: 0.5000 0.5000 0.5000 x1
S: 0.0000 0.5000 0.5000 x3

Calculated values
Total magnetic moment (μB/cell): 0.000
Crystal system: cubic
ρ (g cm⁻³): 3.9
Density of states at the Fermi level (states/eV/cell): 4.19

---

two:
SrCdS3 after structural relaxation, computed with GGA-PBE.

a b c (Å): 5.5699 5.5699 5.5699
angles (deg): 90.00 90.00 90.00
Space group Pm-3m (No. 221)
One atom of each set of equivalent atoms:
Sr: 0.0000 0.0000 0.0000 x1
Cd: 0.5000 0.5000 0.5000 x1
S: 0.0000 0.0000 0.5000 x3

Calculated values
Total magnetic moment (μB/cell): 2.655
Crystal system: cubic
ρ (g cm⁻³): 2.8
Density of states at the Fermi level (states/eV/cell): 5.89

---

It is one that is the most stable of them.

---

one:
Ta3CdS after structural relaxation, computed with GGA-PBE.

a b c (Å): 4.9837 4.9837 4.9837
angles (deg): 90.00 90.00 90.00
Space group Pm-3m (No. 221)
One atom of each set of equivalent atoms:
Ta: 0.0000 0.0000 0.5000 x3
Cd: 0.0000 0.0000 0.0000 x1
S: 0.5000 0.5000 0.5000 x1

Calculated values
Total magnetic moment (μB/cell): 0.000
Crystal system: cubic
ρ (g cm⁻³): 9.2
Density of states at the Fermi level (states/eV/cell): 5.40

---

two:
Ta3CdS after structural relaxation, computed with GGA-PBE.

a b c (Å): 4.5889 4.5889 4.5889
angles (deg): 90.00 90.00 90.00
Space group Pm-3m (No. 221)
One atom of each set of equivalent atoms:
Ta: 0.0000 0.0000 0.5000 x3
Cd: 0.5000 0.5000 0.5000 x1
S: 0.0000 0.0000 0.0000 x1

Calculated values
Total magnetic moment (μB/cell): 0.000
Crystal system: cubic
ρ (g cm⁻³): 11.8
Density of states at the Fermi level (states/eV/cell): 6.16

---

It is two that is the most stable of them.

---

one:
Ta4CdS8 after structural relaxation, computed with GGA-PBE.

a b c (Å): 11.5897 6.7054 9.2355
angles (deg): 90.00 126.68 90.00
Space group C2/m (No. 12)
One atom of each set of equivalent atoms:
Ta: 0.0000 0.2473 0.0000 x4
Ta: 0.2458 0.5000 0.9893 x4
Cd: 0.0000 0.0000 0.5000 x2
S: 0.0142 0.0000 0.2111 x4
S: 0.0196 0.5000 0.2118 x4
S: 0.2320 0.2441 0.7885 x8

Calculated values
Total magnetic moment (μB/cell): 0.000
Crystal system: monoclinic
ρ (g cm⁻³): 6.3
Density of states at the Fermi level (states/eV/cell): 9.83

---

two:
Ta4CdS8 after structural relaxation, computed with GGA-PBE.

a b c (Å): 10.1869 10.1869 10.1869
angles (deg): 90.00 90.00 90.00
Space group F-43m (No. 216)
One atom of each set of equivalent atoms:
Ta: 0.1061 0.1061 0.1061 x16
Cd: 0.0000 0.0000 0.5000 x4
S: 0.1301 0.1301 0.8699 x16
S: 0.1408 0.1408 0.3592 x16

Calculated values
Total magnetic moment (μB/cell): 0.000
Crystal system: cubic
ρ (g cm⁻³): 6.9
Density of states at the Fermi level (states/eV/cell): 0.36

---

It is two that is the most stable of them.

---

one:
Tb2CdS4 after structural relaxation, computed with GGA-PBE.

a b c (Å): 14.3985 3.9867 6.9363
angles (deg): 90.00 118.72 90.00
Space group C2/m (No. 12)
One atom of each set of equivalent atoms:
Tb: 0.2263 0.0000 0.2183 x4
Cd: 0.0000 0.5000 0.5000 x2
S: 0.1242 0.5000 0.9308 x4
S: 0.1392 0.0000 0.4946 x4

Calculated values
Total magnetic moment (μB/cell): 0.000
Crystal system: monoclinic
ρ (g cm⁻³): 5.3
Density of states at the Fermi level (states/eV/cell): 0.00

---

two:
Tb2CdS4 after structural relaxation, computed with GGA-PBE.

a b c (Å): 11.3380 11.3380 11.3380
angles (deg): 90.00 90.00 90.00
Space group Fd-3m (No. 227, origin choice 2)
One atom of each set of equivalent atoms:
Tb: 0.0000 0.0000 0.0000 x16
Cd: 0.1250 0.1250 0.6250 x8
S: 0.0071 0.0071 0.2429 x32

Calculated values
Total magnetic moment (μB/cell): 0.000
Crystal system: cubic
ρ (g cm⁻³): 5.1

---

It is two that is the most stable of them.

---

one:
Cd2TeS after structural relaxation, computed with GGA-PBE.

a b c (Å): 4.4276 4.4276 7.2696
angles (deg): 90.00 90.00 120.00
Space group P3m1 (No. 156)
One atom of each set of equivalent atoms:
Cd: 0.0000 0.0000 0.0000 x1
Cd: 0.3333 0.6667 0.5512 x1
Te: 0.3333 0.6667 0.1575 x1
S: 0.0000 0.0000 0.6476 x1

Calculated values
Total magnetic moment (μB/cell): 0.000
Crystal system: trigonal
ρ (g cm⁻³): 5.2
Density of states at the Fermi level (states/eV/cell): 0.42

---

two:
Cd2TeS after structural relaxation, computed with GGA-PBE.

a b c (Å): 6.2728 6.2728 12.4692
angles (deg): 90.00 90.00 90.00
Space group I-42d (No. 122)
One atom of each set of equivalent atoms:
Cd: 0.2145 0.2500 0.1250 x8
Te: 0.0000 0.0000 0.5000 x4
S: 0.0000 0.0000 0.0000 x4

Calculated values
Total magnetic moment (μB/cell): 0.000
Crystal system: tetragonal
ρ (g cm⁻³): 5.2
Density of states at the Fermi level (states/eV/cell): 0.00

---

three:
Cd2TeS after structural relaxation, computed with GGA-PBE.

a b c (Å): 7.2196 7.2196 7.2196
angles (deg): 90.00 90.00 90.00
Space group Fm-3m (No. 225)
One atom of each set of equivalent atoms:
Cd: 0.2500 0.2500 0.2500 x8
Te: 0.0000 0.0000 0.0000 x4
S: 0.0000 0.0000 0.5000 x4

Calculated values
Total magnetic moment (μB/cell): 0.000
Crystal system: cubic
ρ (g cm⁻³): 6.8
Density of states at the Fermi level (states/eV/cell): 12.67

---

It is two that is the most stable of them.

---

one:
CdTe2S after structural relaxation, computed with GGA-PBE.

a b c (Å): 3.4936 3.4936 30.2274
angles (deg): 90.00 90.00 120.00
Space group R-3m (No. 166, hexagonal axes)
One atom of each set of equivalent atoms:
Cd: 0.0000 0.0000 0.0000 x3
Te: 0.0000 0.0000 0.0993 x6
S: 0.0000 0.0000 0.5000 x3

Calculated values
Total magnetic moment (μB/cell): 0.000
Crystal system: trigonal
ρ (g cm⁻³): 6.2
Density of states at the Fermi level (states/eV/cell): 10.03

---

two:
CdTe2S after structural relaxation, computed with GGA-PBE.

a b c (Å): 7.2625 7.2625 7.2625
angles (deg): 90.00 90.00 90.00
Space group Fm-3m (No. 225)
One atom of each set of equivalent atoms:
Cd: 0.0000 0.0000 0.0000 x4
Te: 0.2500 0.2500 0.2500 x8
S: 0.0000 0.0000 0.5000 x4

Calculated values
Total magnetic moment (μB/cell): 0.000
Crystal system: cubic
ρ (g cm⁻³): 6.9
Density of states at the Fermi level (states/eV/cell): 11.57

---

It is one that is the most stable of them.